Below is a relaxed structure of TlWCl6, with properties calculated at the GGA-PBE level.

Results
As for the crystal system: trigonal. The calculation puts the density at 4.0 Mg/m³. The value obtained for the energy relative to the lowest polymorph listed for this composition is 42.7 meV/atom. The calculation puts the magnetization at 0.126 μB per atom.

Cell and atoms, written as CIF:
```
data_TlWCl6
_chemical_formula_sum 'Tl3 W3 Cl18'
_space_group_name_H-M_alt 'R -3 m'
_space_group_IT_number 166
_space_group_name_Hall '-R 3 2"'
_cell_length_a 6.8133
_cell_length_b 6.8133
_cell_length_c 18.7393
_cell_angle_alpha 90.00
_cell_angle_beta 90.00
_cell_angle_gamma 120.00
loop_
_atom_site_label
_atom_site_fract_x
_atom_site_fract_y
_atom_site_fract_z
Tl1 0.0000 0.0000 0.0000
W1 0.0000 0.0000 0.5000
Cl1 0.0098 0.5049 0.0942
```

Below is a relaxed structure of TlW2Cl8, with properties calculated at the GGA-PBE level.

Results
As for the crystal system: monoclinic. The calculation puts the density at 3.7 Mg/m³. For the calculated total energy, the calculation gives -98.51 eV/cell. The calculation puts the magnetization at 0.455 μB per atom.

Cell and atoms, written as CIF:
```
data_TlW2Cl8
_chemical_formula_sum 'Tl2 W4 Cl16'
_space_group_name_H-M_alt 'C 1 2/m 1'
_space_group_IT_number 12
_space_group_name_Hall '-C 2y'
_cell_length_a 13.967
_cell_length_b 7.321
_cell_length_c 8.169
_cell_angle_alpha 90.00
_cell_angle_beta 112.08
_cell_angle_gamma 90.00
loop_
_atom_site_label
_atom_site_fract_x
_atom_site_fract_y
_atom_site_fract_z
Tl1 0.000 0.000 0.000
W1 0.197 0.000 0.682
Cl1 0.112 0.227 0.766
Cl2 0.127 0.500 0.185
Cl3 0.193 0.000 0.397
```

Below is a relaxed structure of Tl3WCl, with properties calculated at the GGA-PBE level.

Results
As for the crystal system: cubic. The calculation puts the density at 7.4 Mg/m³. The value obtained for the energy relative to the lowest polymorph listed for this composition is 586.7 meV/atom. The calculation puts the magnetization at 0.909 μB per atom.

Cell and atoms, written as CIF:
```
data_Tl3WCl
_chemical_formula_sum 'Tl3 W1 Cl1'
_space_group_name_H-M_alt 'P m -3 m'
_space_group_IT_number 221
_space_group_name_Hall '-P 4 2 3'
_cell_length_a 5.726
_cell_length_b 5.726
_cell_length_c 5.726
_cell_angle_alpha 90.00
_cell_angle_beta 90.00
_cell_angle_gamma 90.00
loop_
_atom_site_label
_atom_site_fract_x
_atom_site_fract_y
_atom_site_fract_z
Tl1 0.000 0.000 0.500
W1 0.500 0.500 0.500
Cl1 0.000 0.000 0.000
```

Below is a relaxed structure of TlWCl4, with properties calculated at the GGA-PBE level.

Results
As for the crystal system: cubic. The calculation puts the density at 5.9 Mg/m³. The value obtained for the energy relative to the lowest polymorph listed for this composition is 1744.3 meV/atom. The calculation puts the magnetization at 0.492 μB per atom.

Cell and atoms, written as CIF:
```
data_TlWCl4
_chemical_formula_sum 'Tl4 W4 Cl16'
_space_group_name_H-M_alt 'F -4 3 m'
_space_group_IT_number 216
_space_group_name_Hall 'F -4 2 3'
_cell_length_a 8.442
_cell_length_b 8.442
_cell_length_c 8.442
_cell_angle_alpha 90.00
_cell_angle_beta 90.00
_cell_angle_gamma 90.00
loop_
_atom_site_label
_atom_site_fract_x
_atom_site_fract_y
_atom_site_fract_z
Tl1 0.000 0.000 0.000
W1 0.250 0.250 0.750
Cl1 0.124 0.124 0.376
```

Below is a relaxed structure of Tl2WCl, with properties calculated at the GGA-PBE level.

Results
As for the crystal system: tetragonal. The calculation puts the density at 11.7 Mg/m³. The value obtained for the energy relative to the lowest polymorph listed for this composition is 388.3 meV/atom. The calculation puts the magnetization at 0.138 μB per atom.

Cell and atoms, written as CIF:
```
data_Tl2WCl
_chemical_formula_sum 'Tl2 W1 Cl1'
_space_group_name_H-M_alt 'P 4/m m m'
_space_group_IT_number 123
_space_group_name_Hall '-P 4 2'
_cell_length_a 3.269
_cell_length_b 3.269
_cell_length_c 8.357
_cell_angle_alpha 90.00
_cell_angle_beta 90.00
_cell_angle_gamma 90.00
loop_
_atom_site_label
_atom_site_fract_x
_atom_site_fract_y
_atom_site_fract_z
Tl1 0.000 0.000 0.227
W1 0.500 0.500 0.000
Cl1 0.500 0.500 0.500
```

Below is a relaxed structure of Tl2WCl, with properties calculated at the GGA-PBE level.

Results
As for the crystal system: orthorhombic. The calculation puts the density at 10.6 Mg/m³. The value obtained for the energy relative to the lowest polymorph listed for this composition is 547.1 meV/atom. The calculation puts the magnetization at 0.507 μB per atom.

Cell and atoms, written as CIF:
```
data_Tl2WCl
_chemical_formula_sum 'Tl2 W1 Cl1'
_space_group_name_H-M_alt 'P m m m'
_space_group_IT_number 47
_space_group_name_Hall '-P 2 2'
_cell_length_a 3.109
_cell_length_b 5.136
_cell_length_c 6.142
_cell_angle_alpha 90.00
_cell_angle_beta 90.00
_cell_angle_gamma 90.00
loop_
_atom_site_label
_atom_site_fract_x
_atom_site_fract_y
_atom_site_fract_z
Tl1 0.000 0.000 0.000
Tl2 0.500 0.000 0.500
W1 0.000 0.500 0.500
Cl1 0.500 0.500 0.000
```

Below is a relaxed structure of Tl2WCl, with properties calculated at the GGA-PBE level.

Results
As for the crystal system: monoclinic. The calculation puts the density at 11.7 Mg/m³. The value obtained for the energy relative to the lowest polymorph listed for this composition is 496.9 meV/atom. The calculation puts the magnetization at 0.000 μB per atom.

Cell and atoms, written as CIF:
```
data_Tl2WCl
_chemical_formula_sum 'Tl2 W1 Cl1'
_space_group_name_H-M_alt 'P 1 2/m 1'
_space_group_IT_number 10
_space_group_name_Hall '-P 2y'
_cell_length_a 3.100
_cell_length_b 5.365
_cell_length_c 5.355
_cell_angle_alpha 90.00
_cell_angle_beta 92.33
_cell_angle_gamma 90.00
loop_
_atom_site_label
_atom_site_fract_x
_atom_site_fract_y
_atom_site_fract_z
Tl1 0.208 0.000 0.254
W1 0.500 0.500 0.500
Cl1 0.500 0.500 0.000
```

Below is a relaxed structure of Tl2WCl, with properties calculated at the GGA-PBE level.

Results
As for the crystal system: trigonal. The calculation puts the density at 10.9 Mg/m³. The value obtained for the energy relative to the lowest polymorph listed for this composition is 0.0 meV/atom. The calculation puts the magnetization at 0.000 μB per atom.

Cell and atoms, written as CIF:
```
data_Tl2WCl
_chemical_formula_sum 'Tl6 W3 Cl3'
_space_group_name_H-M_alt 'R 3 m'
_space_group_IT_number 160
_space_group_name_Hall 'R 3 -2"'
_cell_length_a 3.2113
_cell_length_b 3.2113
_cell_length_c 32.0948
_cell_angle_alpha 90.00
_cell_angle_beta 90.00
_cell_angle_gamma 120.00
loop_
_atom_site_label
_atom_site_fract_x
_atom_site_fract_y
_atom_site_fract_z
Tl1 0.0000 0.0000 0.0000
Tl2 0.0000 0.0000 0.2431
W1 0.0000 0.0000 0.7438
Cl1 0.0000 0.0000 0.4605
```

Below is a relaxed structure of Tl2WCl7, with properties calculated at the GGA-PBE level.

Results
As for the crystal system: monoclinic. The calculation puts the density at 4.5 Mg/m³. For the calculated total energy, the calculation gives -155.62 eV/cell. The calculation puts the magnetization at 0.100 μB per atom.

Cell and atoms, written as CIF:
```
data_Tl2WCl7
_chemical_formula_sum 'Tl8 W4 Cl28'
_space_group_name_H-M_alt 'C 1 2/c 1'
_space_group_IT_number 15
_space_group_name_Hall '-C 2yc'
_cell_length_a 16.926
_cell_length_b 7.959
_cell_length_c 11.796
_cell_angle_alpha 90.00
_cell_angle_beta 128.91
_cell_angle_gamma 90.00
loop_
_atom_site_label
_atom_site_fract_x
_atom_site_fract_y
_atom_site_fract_z
Tl1 0.115 0.171 0.027
W1 0.000 0.280 0.250
Cl1 0.000 0.407 0.750
Cl2 0.084 0.276 0.502
Cl3 0.089 0.021 0.255
Cl4 0.157 0.370 0.304
```

Below is a relaxed structure of Tl3WCl7, with properties calculated at the GGA-PBE level.

Results
As for the crystal system: orthorhombic. The calculation puts the density at 4.8 Mg/m³. For the calculated total energy, the calculation gives -170.33 eV/cell. The calculation puts the magnetization at 0.182 μB per atom.

Cell and atoms, written as CIF:
```
data_Tl3WCl7
_chemical_formula_sum 'Tl12 W4 Cl28'
_space_group_name_H-M_alt 'C 2 2 21'
_space_group_IT_number 20
_space_group_name_Hall 'C 2c 2'
_cell_length_a 10.247
_cell_length_b 15.152
_cell_length_c 9.366
_cell_angle_alpha 90.00
_cell_angle_beta 90.00
_cell_angle_gamma 90.00
loop_
_atom_site_label
_atom_site_fract_x
_atom_site_fract_y
_atom_site_fract_z
Tl1 0.006 0.000 0.000
Tl2 0.232 0.273 0.750
W1 0.000 0.500 0.000
Cl1 0.000 0.140 0.250
Cl2 0.000 0.145 0.750
Cl3 0.000 0.447 0.750
Cl4 0.164 0.394 0.045
Cl5 0.165 0.394 0.455
```

Below is a relaxed structure of Tl2W2Cl, with properties calculated at the GGA-PBE level.

Results
As for the crystal system: tetragonal. The calculation puts the density at 11.1 Mg/m³. The value obtained for the energy relative to the lowest polymorph listed for this composition is 589.8 meV/atom. The calculation puts the magnetization at 0.000 μB per atom.

Cell and atoms, written as CIF:
```
data_Tl2W2Cl
_chemical_formula_sum 'Tl4 W4 Cl2'
_space_group_name_H-M_alt 'I 4/m m m'
_space_group_IT_number 139
_space_group_name_Hall '-I 4 2'
_cell_length_a 4.486
_cell_length_b 4.486
_cell_length_c 12.105
_cell_angle_alpha 90.00
_cell_angle_beta 90.00
_cell_angle_gamma 90.00
loop_
_atom_site_label
_atom_site_fract_x
_atom_site_fract_y
_atom_site_fract_z
Tl1 0.000 0.500 0.250
W1 0.000 0.000 0.094
Cl1 0.000 0.000 0.500
```

Below is a relaxed structure of Tl2WCl, with properties calculated at the GGA-PBE level.

Results
As for the crystal system: monoclinic. The calculation puts the density at 11.5 Mg/m³. The value obtained for the energy relative to the lowest polymorph listed for this composition is 134.8 meV/atom. The calculation puts the magnetization at 0.000 μB per atom.

Cell and atoms, written as CIF:
```
data_Tl2WCl
_chemical_formula_sum 'Tl4 W2 Cl2'
_space_group_name_H-M_alt 'C 1 m 1'
_space_group_IT_number 8
_space_group_name_Hall 'C -2y'
_cell_length_a 11.073
_cell_length_b 3.090
_cell_length_c 5.608
_cell_angle_alpha 90.00
_cell_angle_beta 109.51
_cell_angle_gamma 90.00
loop_
_atom_site_label
_atom_site_fract_x
_atom_site_fract_y
_atom_site_fract_z
Tl1 0.000 0.000 0.000
Tl2 0.192 0.000 0.631
W1 0.247 0.500 0.124
Cl1 0.404 0.000 0.405
```

> The highest magnetization belongs to which entry?

Tl3WCl